A.
Below is a geometry-optimized NdSmI2BrN structure, with properties calculated at the PBE-GGA level.

symmetry	C2/m

Cell: 9.6062 9.6062 12.0715 Å, 122.21 122.21 24.46°
Sites, in units of the cell vectors:
Nd 0.0774 0.0774 0.4620
Nd 0.9226 0.9226 0.5380
Sm 0.3706 0.3706 0.2235
Sm 0.6294 0.6294 0.7765
I 0.1644 0.1644 0.0166
I 0.4522 0.4522 0.7627
I 0.5478 0.5478 0.2373
I 0.8356 0.8356 0.9834
Br 0.2882 0.2882 0.3811
Br 0.7118 0.7118 0.6189
N 0.0710 0.0710 0.6512
N 0.9290 0.9290 0.3488

B.
Below is a geometry-optimized NdSmI2BrN structure, with properties calculated at the PBE-GGA level.

symmetry	C2/m

Cell: 9.8987 9.8987 12.1960 Å, 124.73 124.73 23.68°
Sites, in units of the cell vectors:
Nd 0.0736 0.0736 0.4598
Nd 0.9264 0.9264 0.5402
Sm 0.3640 0.3640 0.2152
Sm 0.6360 0.6360 0.7848
I 0.2721 0.2721 0.3680
I 0.4643 0.4643 0.7714
I 0.5357 0.5357 0.2286
I 0.7279 0.7279 0.6320
Br 0.1727 0.1727 0.0037
Br 0.8273 0.8273 0.9963
N 0.0743 0.0743 0.6536
N 0.9257 0.9257 0.3464

C.
Below is a geometry-optimized NdSmI2BrN structure, with properties calculated at the PBE-GGA level.

symmetry	C2/m

Cell: 9.6001 9.6001 12.0738 Å, 122.04 122.04 24.60°
Sites, in units of the cell vectors:
Nd 0.1297 0.1297 0.2766
Nd 0.8703 0.8703 0.7234
Sm 0.4236 0.4236 0.0375
Sm 0.5764 0.5764 0.9625
I 0.0501 0.0501 0.7425
I 0.3370 0.3370 0.4822
I 0.6630 0.6630 0.5178
I 0.9499 0.9499 0.2575
Br 0.2093 0.2093 0.1138
Br 0.7907 0.7907 0.8862
N 0.4304 0.4304 0.8515
N 0.5696 0.5696 0.1485

Short version: C, A, B, most stable first.

A.
Below is a geometry-optimized PrSmIBr2N structure, with properties calculated at the PBE-GGA level.

symmetry	C2/m

Cell: 10.0333 10.0333 12.3219 Å, 125.86 125.86 23.28°
Sites, in units of the cell vectors:
Pr 0.0720 0.0720 0.4576
Pr 0.9280 0.9280 0.5424
Sm 0.3620 0.3620 0.2154
Sm 0.6380 0.6380 0.7846
I 0.2713 0.2713 0.3679
I 0.7287 0.7287 0.6321
Br 0.1723 0.1723 0.0023
Br 0.4747 0.4747 0.7564
Br 0.5253 0.5253 0.2436
Br 0.8277 0.8277 0.9977
N 0.0768 0.0768 0.6539
N 0.9232 0.9232 0.3461

B.
Below is a geometry-optimized PrSmIBr2N structure, with properties calculated at the PBE-GGA level.

symmetry	C2/m

Cell: 9.2492 9.2492 11.8065 Å, 120.87 120.87 25.45°
Sites, in units of the cell vectors:
Pr 0.0802 0.0802 0.4564
Pr 0.9198 0.9198 0.5436
Sm 0.3682 0.3682 0.2231
Sm 0.6318 0.6318 0.7769
I 0.1587 0.1587 0.0154
I 0.8413 0.8413 0.9846
Br 0.2802 0.2802 0.3835
Br 0.4567 0.4567 0.7521
Br 0.5433 0.5433 0.2479
Br 0.7198 0.7198 0.6165
N 0.0734 0.0734 0.6512
N 0.9266 0.9266 0.3488

C.
Below is a geometry-optimized PrSmIBr2N structure, with properties calculated at the PBE-GGA level.

symmetry	C2/m

Cell: 9.6709 9.6709 11.9762 Å, 123.58 123.58 24.34°
Sites, in units of the cell vectors:
Pr 0.1345 0.1345 0.2867
Pr 0.8655 0.8655 0.7133
Sm 0.4244 0.4244 0.0375
Sm 0.5756 0.5756 0.9625
I 0.0464 0.0464 0.7357
I 0.9536 0.9536 0.2643
Br 0.2107 0.2107 0.1195
Br 0.3303 0.3303 0.4884
Br 0.6697 0.6697 0.5116
Br 0.7893 0.7893 0.8805
N 0.4289 0.4289 0.8481
N 0.5711 0.5711 0.1519

D.
Below is a geometry-optimized PrSmIBr2N structure, with properties calculated at the PBE-GGA level.

symmetry	C2/m

Cell: 9.6929 9.6929 12.2066 Å, 122.79 122.79 24.40°
Sites, in units of the cell vectors:
Pr 0.1332 0.1332 0.2784
Pr 0.8668 0.8668 0.7216
Sm 0.4264 0.4264 0.0395
Sm 0.5736 0.5736 0.9605
I 0.3390 0.3390 0.4850
I 0.6610 0.6610 0.5150
Br 0.0396 0.0396 0.7596
Br 0.2090 0.2090 0.1127
Br 0.7910 0.7910 0.8873
Br 0.9604 0.9604 0.2404
N 0.4292 0.4292 0.8539
N 0.5708 0.5708 0.1461

Short version: D, C, B, A, most stable first.